No. 1
A geometry-optimized CaTb5Pr2 structure. Source: Alexandria, functional PBE.

Cell: 6.746 12.989 14.421 Å, 115.82 90.20 98.26°
Fractional positions:
Ca 0.193 0.381 0.483
Ca 0.266 0.037 0.994
Ca 0.734 0.963 0.006
Ca 0.807 0.619 0.517
Tb 0.010 0.211 0.217
Tb 0.023 0.511 0.732
Tb 0.081 0.915 0.172
Tb 0.097 0.213 0.653
Tb 0.199 0.325 0.040
Tb 0.312 0.738 0.941
Tb 0.327 0.008 0.421
Tb 0.377 0.448 0.870
Tb 0.389 0.720 0.393
Tb 0.487 0.150 0.270
Tb 0.513 0.850 0.730
Tb 0.611 0.280 0.607
Tb 0.623 0.552 0.130
Tb 0.673 0.992 0.579
Tb 0.688 0.262 0.059
Tb 0.801 0.675 0.960
Tb 0.903 0.787 0.347
Tb 0.919 0.085 0.828
Tb 0.977 0.489 0.268
Tb 0.990 0.789 0.783
Pr 0.130 0.909 0.600
Pr 0.147 0.623 0.119
Pr 0.441 0.147 0.800
Pr 0.456 0.414 0.279
Pr 0.544 0.586 0.721
Pr 0.559 0.853 0.200
Pr 0.853 0.377 0.881
Pr 0.870 0.091 0.400

=====

No. 2
A geometry-optimized CaTbPr6 structure. Source: Alexandria, functional PBE.

Cell: 5.239 5.239 10.489 Å, 90.00 90.00 90.00°
Fractional positions:
Ca 0.000 0.000 0.000
Tb 0.000 0.000 0.500
Pr 0.000 0.500 0.257
Pr 0.000 0.500 0.743
Pr 0.500 0.000 0.257
Pr 0.500 0.000 0.743
Pr 0.500 0.500 0.000
Pr 0.500 0.500 0.500

=====

no.,total DFT energy (no corrections) (eV/atom),mass density (g/cm3)
1,-4.221,6.61
2,-4.381,6.02